# 1
LaSiI3: relaxed, PBE.

a b c (Å): 6.2930 6.2930 6.2930
angles (deg): 90.00 90.00 90.00
Space group Pm-3m (No. 221)
Inequivalent atoms, fractional coordinates:
La 0.0000 0.0000 0.0000 (multiplicity 1)
Si 0.5000 0.5000 0.5000 (multiplicity 1)
I 0.0000 0.0000 0.5000 (multiplicity 3)

Results
As for the raw total energy: -16.374 eV for the cell shown. The value obtained for the formation energy (no corrections) is -0.2746 eV/atom. The density comes out at 3.649 g/cm³. The energy above the most stable polymorph in this dataset is 0.0 meV/atom. The value obtained for the density of states at the Fermi level is 12.80 states/eV per cell.

# 2
Co2Se2I: relaxed, PBE.

a b c (Å): 3.6306 3.6306 16.8046
angles (deg): 90.00 90.00 90.00
Space group I4/mmm (No. 139)
Inequivalent atoms, fractional coordinates:
Co 0.0000 0.5000 0.2500 (multiplicity 4)
Se 0.0000 0.0000 0.1650 (multiplicity 4)
I 0.0000 0.0000 0.5000 (multiplicity 2)

Results
As for the raw total energy: -47.616 eV for the cell shown. The value obtained for the formation energy (no corrections) is -0.2154 eV/atom. The density comes out at 6.038 g/cm³. The value obtained for the density of states at the Fermi level is 4.91 states/eV per cell.

# 3
PrAl2Tc: relaxed, PBE.

a b c (Å): 3.2313 3.2313 7.4117
angles (deg): 90.00 90.00 90.00
Space group P4/mmm (No. 123)
Inequivalent atoms, fractional coordinates:
Pr 0.0000 0.0000 0.0000 (multiplicity 1)
Al 0.5000 0.5000 0.3213 (multiplicity 2)
Tc 0.0000 0.0000 0.5000 (multiplicity 1)

Results
As for the raw total energy: -23.810 eV for the cell shown. The density comes out at 6.284 g/cm³. The energy above the most stable polymorph in this dataset is 0.0 meV/atom. The value obtained for the density of states at the Fermi level is 3.98 states/eV per cell.

# 4
Ba2CdIn6Pd: relaxed, PBE.

a b c (Å): 10.9214 10.9214 10.9214
angles (deg): 90.00 90.00 90.00
Space group Fm-3m (No. 225)
Inequivalent atoms, fractional coordinates:
Ba 0.2500 0.2500 0.2500 (multiplicity 8)
Cd 0.0000 0.0000 0.0000 (multiplicity 4)
In 0.0000 0.0000 0.2574 (multiplicity 24)
Pd 0.0000 0.0000 0.5000 (multiplicity 4)

Results
As for the raw total energy: -112.377 eV for the cell shown. The density comes out at 6.029 g/cm³. The value obtained for the density of states at the Fermi level is 27.91 states/eV per cell.

> Among the records above, which one has the lowest raw total energy?

Ba2CdIn6Pd

> Look up the raw total energy of the second one.

-47.616 eV for the cell shown

> What is the raw total energy in the first record?

-16.374 eV for the cell shown